(1)
The following is a DFT calculation (PBE) of Si3NiGe after structural relaxation.

Cell lengths 4.419, 4.419, 4.419 Å; angles 90.00, 90.00, 90.00 degrees
Fractional coordinates of all 5 atoms:
Ni (0.000, 0.000, 0.000)
Ge (0.500, 0.500, 0.500)
Si (0.000, 0.500, 0.000)
Si (0.000, 0.000, 0.500)
Si (0.500, 0.000, 0.000)

Values from the calculation:
**Energy above the most stable polymorph in this dataset**: 0 meV/atom
**Total magnetic moment**: 0.00 μB/f.u.
**Formation energy without anion corrections**: 0.452 eV per atom
**Raw total energy**: -4.882 eV per atom


(2)
The following is a DFT calculation (PBE) of Si2Ni5Ge after structural relaxation.

Cell lengths 2.703, 6.252, 6.642 Å; angles 118.08, 101.74, 90.00 degrees
Fractional coordinates of all 8 atoms:
Si (0.197, 0.697, 0.394)
Si (0.803, 0.303, 0.606)
Ni (0.000, 0.500, 0.000)
Ni (0.641, 0.356, 0.282)
Ni (0.359, 0.644, 0.718)
Ni (0.641, 0.926, 0.282)
Ni (0.359, 0.074, 0.718)
Ge (0.000, 0.000, 0.000)

Values from the calculation:
**Total magnetic moment**: 0.00 μB/f.u.
**Formation energy without anion corrections**: -0.322 eV per atom
**Raw total energy**: -5.868 eV per atom


(3)
The following is a DFT calculation (PBE) of Si2Ni12Ge5 after structural relaxation.

Cell lengths 7.052, 6.596, 5.937 Å; angles 87.90, 90.00, 122.31 degrees
Fractional coordinates of all 19 atoms:
Si (0.717, 0.000, 0.000)
Si (0.283, 0.000, 0.000)
Ni (0.904, 0.809, 0.118)
Ni (0.036, 0.718, 0.753)
Ni (0.682, 0.718, 0.753)
Ni (0.174, 0.753, 0.353)
Ni (0.579, 0.753, 0.353)
Ni (0.444, 0.887, 0.721)
Ni (0.556, 0.113, 0.279)
Ni (0.826, 0.247, 0.647)
Ni (0.421, 0.247, 0.647)
Ni (0.964, 0.282, 0.247)
Ni (0.318, 0.282, 0.247)
Ni (0.096, 0.191, 0.882)
Ge (0.247, 0.494, 0.585)
Ge (0.298, 0.596, 0.048)
Ge (0.000, 0.000, 0.500)
Ge (0.702, 0.404, 0.952)
Ge (0.753, 0.506, 0.415)

Values from the calculation:
**Total magnetic moment**: 0.00 μB/f.u.
**Formation energy without anion corrections**: -0.228 eV per atom
**Raw total energy**: -5.666 eV per atom


(4)
The following is a DFT calculation (PBE) of SiNiGe after structural relaxation.

Cell lengths 3.072, 3.072, 10.465 Å; angles 107.20, 107.20, 90.40 degrees
Fractional coordinates of all 6 atoms:
Ge (0.114, 0.114, 0.357)
Ge (0.886, 0.886, 0.643)
Si (0.571, 0.571, 0.824)
Si (0.429, 0.429, 0.176)
Ni (0.170, 0.170, 0.921)
Ni (0.830, 0.830, 0.079)

Values from the calculation:
**Energy above the most stable polymorph in this dataset**: 161 meV/atom
**Total magnetic moment**: 0.00 μB/f.u.
**Formation energy without anion corrections**: -0.058 eV per atom
**Raw total energy**: -5.332 eV per atom


(5)
The following is a DFT calculation (PBE) of SiNi5Ge2 after structural relaxation.

Cell lengths 2.814, 6.172, 6.648 Å; angles 117.66, 102.22, 90.00 degrees
Fractional coordinates of all 8 atoms:
Si (0.000, 0.000, 0.000)
Ni (0.000, 0.500, 0.000)
Ni (0.618, 0.330, 0.237)
Ni (0.382, 0.670, 0.763)
Ni (0.618, 0.907, 0.237)
Ni (0.382, 0.093, 0.763)
Ge (0.206, 0.706, 0.413)
Ge (0.794, 0.294, 0.587)

Values from the calculation:
**Total magnetic moment**: 0.00 μB/f.u.
**Formation energy without anion corrections**: -0.254 eV per atom
**Raw total energy**: -5.700 eV per atom


(6)
The following is a DFT calculation (PBE) of Si2Ni7Ge after structural relaxation.

Cell lengths 3.675, 3.675, 9.302 Å; angles 101.39, 101.39, 90.00 degrees
Fractional coordinates of all 10 atoms:
Si (0.672, 0.672, 0.344)
Si (0.328, 0.328, 0.656)
Ni (0.097, 0.597, 0.194)
Ni (0.403, 0.903, 0.806)
Ni (0.597, 0.097, 0.194)
Ni (0.500, 0.500, 0.000)
Ni (0.750, 0.250, 0.500)
Ni (0.903, 0.403, 0.806)
Ni (0.250, 0.750, 0.500)
Ge (0.000, 0.000, 0.000)

Values from the calculation:
**Total magnetic moment**: 0.00 μB/f.u.
**Formation energy without anion corrections**: -0.362 eV per atom
**Raw total energy**: -5.955 eV per atom


(7)
The following is a DFT calculation (PBE) of SiNi14Ge after structural relaxation.

Cell lengths 5.019, 5.019, 6.974 Å; angles 90.00, 90.00, 90.00 degrees
Site moments in Bohr magnetons follow the coordinates.
Fractional coordinates of all 16 atoms:
Si (0.875, 0.875, 0.500)  -0.01
Ni (0.875, 0.875, 0.000)  0.39
Ni (0.375, 0.375, 0.000)  0.38
Ni (0.875, 0.375, 0.500)  0.25
Ni (0.875, 0.375, 0.000)  0.51
Ni (0.375, 0.875, 0.500)  0.25
Ni (0.375, 0.875, 0.000)  0.51
Ni (0.628, 0.122, 0.251)  0.31
Ni (0.628, 0.122, 0.749)  0.31
Ni (0.122, 0.628, 0.251)  0.31
Ni (0.122, 0.628, 0.749)  0.31
Ni (0.628, 0.628, 0.251)  0.31
Ni (0.628, 0.628, 0.749)  0.31
Ni (0.122, 0.122, 0.251)  0.31
Ni (0.122, 0.122, 0.749)  0.31
Ge (0.375, 0.375, 0.500)  -0.02

Values from the calculation:
**Total magnetic moment**: 4.43 μB/f.u.
**Formation energy without anion corrections**: -0.150 eV per atom
**Raw total energy**: -5.836 eV per atom


(8)
The following is a DFT calculation (PBE) of Si2Ni8Ge after structural relaxation.

Cell lengths 3.678, 6.354, 6.509 Å; angles 119.22, 106.41, 90.00 degrees
Fractional coordinates of all 11 atoms:
Si (0.187, 0.687, 0.374)
Si (0.813, 0.313, 0.626)
Ni (0.663, 0.886, 0.326)
Ni (0.337, 0.559, 0.674)
Ni (0.149, 0.149, 0.298)
Ni (0.000, 0.305, 0.000)
Ni (0.851, 0.851, 0.702)
Ni (0.663, 0.441, 0.326)
Ni (0.337, 0.114, 0.674)
Ni (0.000, 0.695, 0.000)
Ge (0.500, 0.000, 0.000)

Values from the calculation:
**Energy above the most stable polymorph in this dataset**: 0 meV/atom
**Total magnetic moment**: 0.00 μB/f.u.
**Formation energy without anion corrections**: -0.387 eV per atom
**Raw total energy**: -5.997 eV per atom


(9)
The following is a DFT calculation (PBE) of Si2Ni9Ge after structural relaxation.

Cell lengths 3.530, 3.530, 10.588 Å; angles 90.00, 90.00, 90.00 degrees
Fractional coordinates of all 12 atoms:
Si (0.000, 0.000, 0.336)
Si (0.000, 0.000, 0.664)
Ni (0.500, 0.500, 0.000)
Ni (0.500, 0.500, 0.336)
Ni (0.500, 0.500, 0.664)
Ni (0.500, 0.000, 0.173)
Ni (0.500, 0.000, 0.500)
Ni (0.500, 0.000, 0.827)
Ni (0.000, 0.500, 0.173)
Ni (0.000, 0.500, 0.500)
Ni (0.000, 0.500, 0.827)
Ge (0.000, 0.000, 0.000)

Values from the calculation:
**Total magnetic moment**: 0.00 μB/f.u.
**Formation energy without anion corrections**: -0.401 eV per atom
**Raw total energy**: -6.025 eV per atom


(10)
The following is a DFT calculation (PBE) of SiNi15Ge4 after structural relaxation.

Cell lengths 3.563, 3.563, 17.804 Å; angles 90.00, 90.00, 90.00 degrees
Fractional coordinates of all 20 atoms:
Si (0.000, 0.000, 0.000)
Ni (0.500, 0.500, 0.000)
Ni (0.500, 0.500, 0.197)
Ni (0.500, 0.500, 0.399)
Ni (0.500, 0.500, 0.601)
Ni (0.500, 0.500, 0.803)
Ni (0.500, 0.000, 0.096)
Ni (0.500, 0.000, 0.299)
Ni (0.500, 0.000, 0.500)
Ni (0.500, 0.000, 0.701)
Ni (0.500, 0.000, 0.904)
Ni (0.000, 0.500, 0.096)
Ni (0.000, 0.500, 0.299)
Ni (0.000, 0.500, 0.500)
Ni (0.000, 0.500, 0.701)
Ni (0.000, 0.500, 0.904)
Ge (0.000, 0.000, 0.198)
Ge (0.000, 0.000, 0.399)
Ge (0.000, 0.000, 0.601)
Ge (0.000, 0.000, 0.802)

Values from the calculation:
**Total magnetic moment**: 0.00 μB/f.u.
**Formation energy without anion corrections**: -0.322 eV per atom
**Raw total energy**: -5.853 eV per atom


(11)
The following is a DFT calculation (PBE) of Sm2Si3Ni4Ge after structural relaxation.

Cell lengths 4.053, 4.053, 9.548 Å; angles 90.00, 90.00, 90.00 degrees
Fractional coordinates of all 10 atoms:
Sm (0.500, 0.000, 0.248)
Sm (0.000, 0.500, 0.752)
Si (0.000, 0.000, 0.500)
Si (0.500, 0.000, 0.875)
Si (0.000, 0.500, 0.125)
Ni (0.500, 0.500, 0.000)
Ni (0.000, 0.000, 0.000)
Ni (0.500, 0.000, 0.629)
Ni (0.000, 0.500, 0.371)
Ge (0.500, 0.500, 0.500)

Values from the calculation:
**Total magnetic moment**: 0.00 μB/f.u.
**Formation energy without anion corrections**: -0.785 eV per atom
**Raw total energy**: -6.130 eV per atom


(12)
The following is a DFT calculation (PBE) of Sm2SiNi6Ge after structural relaxation.

Cell lengths 6.205, 6.210, 6.214 Å; angles 59.95, 59.98, 90.04 degrees
Fractional coordinates of all 10 atoms:
Sm (0.750, 0.250, 0.500)
Sm (0.250, 0.750, 0.500)
Si (0.000, 0.000, 0.000)
Ni (0.245, 0.245, 0.510)
Ni (0.755, 0.755, 0.000)
Ni (0.245, 0.755, 0.000)
Ni (0.755, 0.245, 0.000)
Ni (0.245, 0.245, 0.000)
Ni (0.755, 0.755, 0.490)
Ge (0.500, 0.500, 0.000)

Values from the calculation:
**Total magnetic moment**: 0.00 μB/f.u.
**Formation energy without anion corrections**: -0.201 eV per atom
**Raw total energy**: -5.618 eV per atom


(13)
The following is a DFT calculation (PBE) of Tb2Si3Ni4Ge after structural relaxation.

Cell lengths 4.010, 4.010, 9.514 Å; angles 90.00, 90.00, 90.00 degrees
Fractional coordinates of all 10 atoms:
Tb (0.500, 0.000, 0.247)
Tb (0.000, 0.500, 0.753)
Si (0.000, 0.000, 0.500)
Si (0.500, 0.000, 0.874)
Si (0.000, 0.500, 0.126)
Ni (0.500, 0.500, 0.000)
Ni (0.000, 0.000, 0.000)
Ni (0.500, 0.000, 0.631)
Ni (0.000, 0.500, 0.369)
Ge (0.500, 0.500, 0.500)

Values from the calculation:
**Total magnetic moment**: 0.00 μB/f.u.
**Formation energy without anion corrections**: -0.801 eV per atom
**Raw total energy**: -6.129 eV per atom


(14)
The following is a DFT calculation (PBE) of Tb3SiNi9Ge2 after structural relaxation.

Cell lengths 6.022, 6.022, 8.033 Å; angles 90.00, 90.00, 120.00 degrees
Fractional coordinates of all 15 atoms:
Tb (0.333, 0.667, 0.670)
Tb (0.000, 0.000, 0.000)
Tb (0.667, 0.333, 0.330)
Si (0.000, 0.000, 0.500)
Ni (0.865, 0.135, 0.712)
Ni (0.865, 0.730, 0.712)
Ni (0.270, 0.135, 0.712)
Ni (0.730, 0.865, 0.288)
Ni (0.135, 0.270, 0.288)
Ni (0.135, 0.865, 0.288)
Ni (0.500, 0.000, 0.000)
Ni (0.000, 0.500, 0.000)
Ni (0.500, 0.500, 0.000)
Ge (0.333, 0.667, 0.193)
Ge (0.667, 0.333, 0.807)

Values from the calculation:
**Total magnetic moment**: 0.00 μB/f.u.
**Formation energy without anion corrections**: -0.266 eV per atom
**Raw total energy**: -5.638 eV per atom


(15)
The following is a DFT calculation (PBE) of Tb3Si2Ni9Ge after structural relaxation.

Cell lengths 5.892, 5.892, 8.234 Å; angles 90.00, 90.00, 120.00 degrees
Fractional coordinates of all 15 atoms:
Tb (0.333, 0.667, 0.672)
Tb (0.000, 0.000, 0.000)
Tb (0.667, 0.333, 0.328)
Si (0.333, 0.667, 0.179)
Si (0.667, 0.333, 0.821)
Ni (0.860, 0.140, 0.719)
Ni (0.860, 0.719, 0.719)
Ni (0.281, 0.140, 0.719)
Ni (0.719, 0.860, 0.281)
Ni (0.140, 0.281, 0.281)
Ni (0.140, 0.860, 0.281)
Ni (0.500, 0.000, 0.000)
Ni (0.000, 0.500, 0.000)
Ni (0.500, 0.500, 0.000)
Ge (0.000, 0.000, 0.500)

Values from the calculation:
**Total magnetic moment**: 0.00 μB/f.u.
**Formation energy without anion corrections**: -0.322 eV per atom
**Raw total energy**: -5.748 eV per atom


(16)
The following is a DFT calculation (PBE) of Th2SiNi4Ge3 after structural relaxation.

Cell lengths 4.167, 4.167, 9.571 Å; angles 90.00, 90.00, 90.00 degrees
Fractional coordinates of all 10 atoms:
Th (0.500, 0.000, 0.248)
Th (0.000, 0.500, 0.752)
Si (0.500, 0.500, 0.500)
Ni (0.500, 0.500, 0.000)
Ni (0.000, 0.000, 0.000)
Ni (0.500, 0.000, 0.618)
Ni (0.000, 0.500, 0.382)
Ge (0.000, 0.000, 0.500)
Ge (0.500, 0.000, 0.870)
Ge (0.000, 0.500, 0.130)

Values from the calculation:
**Total magnetic moment**: 0.00 μB/f.u.
**Formation energy without anion corrections**: -0.761 eV per atom
**Raw total energy**: -6.485 eV per atom


(17)
The following is a DFT calculation (PBE) of ThSiNi6Ge after structural relaxation.

Cell lengths 7.726, 5.104, 7.992 Å; angles 108.62, 118.90, 90.00 degrees
Fractional coordinates of all 18 atoms:
Th (0.756, 0.506, 0.512)
Th (0.244, 0.494, 0.488)
Si (0.500, 0.500, 0.000)
Si (0.500, 0.000, 0.000)
Ni (0.644, 0.894, 0.288)
Ni (0.006, 0.256, 0.012)
Ni (0.857, 0.095, 0.185)
Ni (0.328, 0.590, 0.185)
Ni (0.328, 0.095, 0.185)
Ni (0.857, 0.590, 0.185)
Ni (0.356, 0.106, 0.712)
Ni (0.994, 0.744, 0.988)
Ni (0.143, 0.905, 0.815)
Ni (0.672, 0.410, 0.815)
Ni (0.672, 0.905, 0.815)
Ni (0.143, 0.410, 0.815)
Ge (0.500, 0.000, 0.500)
Ge (0.000, 0.000, 0.500)

Values from the calculation:
**Total magnetic moment**: 0.00 μB/f.u.
**Formation energy without anion corrections**: -0.343 eV per atom
**Raw total energy**: -6.137 eV per atom


(18)
The following is a DFT calculation (PBE) of Th2Si3Ni12Ge after structural relaxation.

Cell lengths 6.344, 6.344, 6.344 Å; angles 83.62, 83.62, 83.62 degrees
Fractional coordinates of all 18 atoms:
Th (0.657, 0.657, 0.657)
Th (0.343, 0.343, 0.343)
Si (0.500, 0.000, 0.000)
Si (0.000, 0.500, 0.000)
Si (0.000, 0.000, 0.500)
Ni (0.385, 0.385, 0.907)
Ni (0.812, 0.812, 0.291)
Ni (0.291, 0.812, 0.812)
Ni (0.907, 0.385, 0.385)
Ni (0.812, 0.291, 0.812)
Ni (0.385, 0.907, 0.385)
Ni (0.615, 0.615, 0.093)
Ni (0.188, 0.188, 0.709)
Ni (0.709, 0.188, 0.188)
Ni (0.093, 0.615, 0.615)
Ni (0.188, 0.709, 0.188)
Ni (0.615, 0.093, 0.615)
Ge (0.000, 0.000, 0.000)

Values from the calculation:
**Total magnetic moment**: 0.00 μB/f.u.
**Formation energy without anion corrections**: -0.200 eV per atom
**Raw total energy**: -6.039 eV per atom


(19)
The following is a DFT calculation (PBE) of Tm2SiNi4Ge3 after structural relaxation.

Cell lengths 4.011, 4.011, 9.640 Å; angles 90.00, 90.00, 90.00 degrees
Fractional coordinates of all 10 atoms:
Tm (0.500, 0.000, 0.250)
Tm (0.000, 0.500, 0.750)
Si (0.500, 0.500, 0.500)
Ni (0.500, 0.500, 0.000)
Ni (0.000, 0.000, 0.000)
Ni (0.500, 0.000, 0.625)
Ni (0.000, 0.500, 0.375)
Ge (0.000, 0.000, 0.500)
Ge (0.500, 0.000, 0.867)
Ge (0.000, 0.500, 0.133)

Values from the calculation:
**Total magnetic moment**: 0.00 μB/f.u.
**Formation energy without anion corrections**: -0.707 eV per atom
**Raw total energy**: -5.841 eV per atom


(20)
The following is a DFT calculation (PBE) of Tm2SiNi6Ge after structural relaxation.

Cell lengths 6.150, 5.947, 6.173 Å; angles 60.67, 56.36, 87.88 degrees
Fractional coordinates of all 10 atoms:
Tm (0.711, 0.304, 0.570)
Tm (0.289, 0.696, 0.430)
Si (0.000, 0.000, 0.000)
Ni (0.164, 0.131, 0.504)
Ni (0.851, 0.680, 0.968)
Ni (0.324, 0.820, 0.796)
Ni (0.676, 0.180, 0.204)
Ni (0.149, 0.320, 0.032)
Ni (0.836, 0.869, 0.496)
Ge (0.500, 0.500, 0.000)

Values from the calculation:
**Total magnetic moment**: 0.00 μB/f.u.
**Formation energy without anion corrections**: -0.406 eV per atom
**Raw total energy**: -5.773 eV per atom